1.
DFT (PBE) results for a relaxed Ba2P3Pd12Pt crystal.

a b c (Å): 8.4900 8.4900 18.4858
angles (deg): 90.00 90.00 120.00
Space group R-3m (No. 166, hexagonal axes)
Asymmetric unit:
Ba (0.0000, 0.0000, 0.1108)
P (0.0000, 0.5000, 0.0000)
Pd (0.0051, 0.5026, 0.1204)
Pd (0.0585, 0.5293, 0.3525)
Pt (0.0000, 0.0000, 0.5000)

Summary:
**Formation enthalpy at 0 K**: -255 meV/atom
**Size of the total moment**: 0.0 μB per formula unit

***

2.
DFT (PBE) results for a relaxed BiBSb2Te crystal.

a b c (Å): 5.8208 5.8208 6.0230
angles (deg): 90.00 90.00 90.00
Space group P4/mmm (No. 123)
Asymmetric unit:
Bi (0.0000, 0.0000, 0.0000)
B (0.5000, 0.5000, 0.5000)
Sb (0.0000, 0.5000, 0.0000)
Te (0.0000, 0.0000, 0.5000)

Summary:
**Total DFT energy (no corrections)**: -2.6488 eV/atom
**Size of the total moment**: 0.7 μB per formula unit